Density functional theory data (PBE) for an optimized crystal structure of Hg2Te.

Values from the calculation:
VASP energy (eV/atom): -0.923
E_form (uncorrected) (eV per formula unit): 0.98
Symmetry: Fd-3m (227)
Offset from the most stable computed form (meV per atom): 356

abc: 6.150 6.150 6.150
angles: 60.00 60.00 60.00
Element x y z (fractional)
1 Hg 0.125 0.125 0.625
2 Hg 0.125 0.625 0.125
3 Te 0.750 0.750 0.750
4 Hg 0.625 0.125 0.125
5 Hg 0.125 0.125 0.125
6 Te 0.500 0.500 0.500